a | Density functional theory data (PBE) for LiLa2Zr after structural relaxation.

```
data_LiLa2Zr
_symmetry_space_group_name_H-M 'P 4/m m m'
_symmetry_Int_Tables_number 123
_symmetry_space_group_name_Hall '-P 4 2'
_cell_length_a 5.735
_cell_length_b 5.735
_cell_length_c 3.517
_cell_angle_alpha 90.00
_cell_angle_beta 90.00
_cell_angle_gamma 90.00
loop_
_atom_site_label
_atom_site_type_symbol
_atom_site_fract_x
_atom_site_fract_y
_atom_site_fract_z
Li1 Li 0.000 0.000 0.000
La1 La 0.000 0.500 0.500
Zr1 Zr 0.500 0.500 0.000
```

=====

b | Density functional theory data (PBE) for LiLa2Zr after structural relaxation.

```
data_LiLa2Zr
_symmetry_space_group_name_H-M 'P m m 2'
_symmetry_Int_Tables_number 25
_cell_length_a 3.407
_cell_length_b 4.951
_cell_length_c 6.699
_cell_angle_alpha 90.00
_cell_angle_beta 90.00
_cell_angle_gamma 90.00
loop_
_symmetry_equiv_pos_as_xyz
'x,y,z'
'-x,-y,z'
'-x,y,z'
'x,-y,z'
loop_
_atom_site_label
_atom_site_type_symbol
_atom_site_fract_x
_atom_site_fract_y
_atom_site_fract_z
Li1 Li 0.000 0.000 0.000
La1 La 0.000 0.000 0.456
La2 La 0.500 0.500 0.757
Zr1 Zr 0.500 0.500 0.237
```

=====

Tell me which of them is the least stable. Sure, it is b.

=====

a | Density functional theory data (PBE) for LiLaZr after structural relaxation.

```
data_LiLaZr
_symmetry_space_group_name_H-M 'F -4 3 m'
_symmetry_Int_Tables_number 216
_symmetry_space_group_name_Hall 'F -4 2 3'
_cell_length_a 6.962
_cell_length_b 6.962
_cell_length_c 6.962
_cell_angle_alpha 90.00
_cell_angle_beta 90.00
_cell_angle_gamma 90.00
loop_
_atom_site_label
_atom_site_type_symbol
_atom_site_fract_x
_atom_site_fract_y
_atom_site_fract_z
Li1 Li 0.000 0.000 0.000
La1 La 0.250 0.250 0.750
Zr1 Zr 0.000 0.000 0.500
```

=====

b | Density functional theory data (PBE) for LiLaZr after structural relaxation.

```
data_LiLaZr
_symmetry_space_group_name_H-M 'P -1'
_symmetry_Int_Tables_number 2
_cell_length_a 3.356
_cell_length_b 3.359
_cell_length_c 13.659
_cell_angle_alpha 89.90
_cell_angle_beta 89.99
_cell_angle_gamma 89.88
loop_
_symmetry_equiv_pos_as_xyz
'x,y,z'
'-x,-y,-z'
loop_
_atom_site_label
_atom_site_type_symbol
_atom_site_fract_x
_atom_site_fract_y
_atom_site_fract_z
Li1 Li 0.249 0.250 0.447
La1 La 0.248 0.251 0.122
Zr1 Zr 0.252 0.250 0.706
```

=====

Tell me which of them is the least stable. Sure, it is a.

=====

a | Density functional theory data (PBE) for LiLaZr after structural relaxation.

```
data_LiLaZr
_symmetry_space_group_name_H-M 'P 3 m 1'
_symmetry_Int_Tables_number 156
_cell_length_a 3.3446
_cell_length_b 3.3446
_cell_length_c 8.2750
_cell_angle_alpha 90.00
_cell_angle_beta 90.00
_cell_angle_gamma 120.00
loop_
_symmetry_equiv_pos_as_xyz
'x,y,z'
'-y,x-y,z'
'-x+y,-x,z'
'-y,-x,z'
'-x+y,y,z'
'x,x-y,z'
loop_
_atom_site_label
_atom_site_type_symbol
_atom_site_fract_x
_atom_site_fract_y
_atom_site_fract_z
Li1 Li 0.0000 0.0000 0.0000
La1 La 0.3333 0.6667 0.6361
Zr1 Zr 0.6667 0.3333 0.3064
```

=====

b | Density functional theory data (PBE) for LiLaZr after structural relaxation.

```
data_LiLaZr
_symmetry_space_group_name_H-M 'F -4 3 m'
_symmetry_Int_Tables_number 216
_symmetry_space_group_name_Hall 'F -4 2 3'
_cell_length_a 6.939
_cell_length_b 6.939
_cell_length_c 6.939
_cell_angle_alpha 90.00
_cell_angle_beta 90.00
_cell_angle_gamma 90.00
loop_
_atom_site_label
_atom_site_type_symbol
_atom_site_fract_x
_atom_site_fract_y
_atom_site_fract_z
Li1 Li 0.000 0.000 0.000
La1 La 0.250 0.250 0.750
Zr1 Zr 0.250 0.250 0.250
```

=====

c | Density functional theory data (PBE) for LiLaZr after structural relaxation.

```
data_LiLaZr
_symmetry_space_group_name_H-M 'I 4 m m'
_symmetry_Int_Tables_number 107
_symmetry_space_group_name_Hall 'I 4 -2'
_cell_length_a 3.387
_cell_length_b 3.387
_cell_length_c 13.722
_cell_angle_alpha 90.00
_cell_angle_beta 90.00
_cell_angle_gamma 90.00
loop_
_atom_site_label
_atom_site_type_symbol
_atom_site_fract_x
_atom_site_fract_y
_atom_site_fract_z
Li1 Li 0.000 0.000 0.000
La1 La 0.000 0.000 0.317
Zr1 Zr 0.000 0.000 0.647
```

=====

Tell me which of them is the least stable. Sure, it is b.

=====

a | Density functional theory data (PBE) for LaLu2Mg after structural relaxation.

```
data_LaLu2Mg
_symmetry_space_group_name_H-M 'P 4/m m m'
_symmetry_Int_Tables_number 123
_symmetry_space_group_name_Hall '-P 4 2'
_cell_length_a 4.891
_cell_length_b 4.891
_cell_length_c 5.024
_cell_angle_alpha 90.00
_cell_angle_beta 90.00
_cell_angle_gamma 90.00
loop_
_atom_site_label
_atom_site_type_symbol
_atom_site_fract_x
_atom_site_fract_y
_atom_site_fract_z
La1 La 0.000 0.000 0.000
Lu1 Lu 0.000 0.500 0.500
Mg1 Mg 0.500 0.500 0.000
```

=====

b | Density functional theory data (PBE) for LaLu2Mg after structural relaxation.

```
data_LaLu2Mg
_symmetry_space_group_name_H-M 'P 4/m m m'
_symmetry_Int_Tables_number 123
_symmetry_space_group_name_Hall '-P 4 2'
_cell_length_a 3.647
_cell_length_b 3.647
_cell_length_c 8.970
_cell_angle_alpha 90.00
_cell_angle_beta 90.00
_cell_angle_gamma 90.00
loop_
_atom_site_label
_atom_site_type_symbol
_atom_site_fract_x
_atom_site_fract_y
_atom_site_fract_z
La1 La 0.000 0.000 0.000
Lu1 Lu 0.500 0.500 0.281
Mg1 Mg 0.000 0.000 0.500
```

=====

Tell me which of them is the least stable. Sure, it is a.

=====

a | Density functional theory data (PBE) for LaLuMg after structural relaxation.

```
data_LaLuMg
_symmetry_space_group_name_H-M 'P 3 m 1'
_symmetry_Int_Tables_number 156
_cell_length_a 5.5181
_cell_length_b 5.5181
_cell_length_c 3.4360
_cell_angle_alpha 90.00
_cell_angle_beta 90.00
_cell_angle_gamma 120.00
loop_
_symmetry_equiv_pos_as_xyz
'x,y,z'
'-y,x-y,z'
'-x+y,-x,z'
'-y,-x,z'
'-x+y,y,z'
'x,x-y,z'
loop_
_atom_site_label
_atom_site_type_symbol
_atom_site_fract_x
_atom_site_fract_y
_atom_site_fract_z
La1 La 0.0000 0.0000 0.0000
Lu1 Lu 0.6667 0.3333 0.4333
Mg1 Mg 0.3333 0.6667 0.6312
```

=====

b | Density functional theory data (PBE) for LaLuMg after structural relaxation.

```
data_LaLuMg
_symmetry_space_group_name_H-M 'I 4 m m'
_symmetry_Int_Tables_number 107
_symmetry_space_group_name_Hall 'I 4 -2'
_cell_length_a 3.742
_cell_length_b 3.742
_cell_length_c 12.987
_cell_angle_alpha 90.00
_cell_angle_beta 90.00
_cell_angle_gamma 90.00
loop_
_atom_site_label
_atom_site_type_symbol
_atom_site_fract_x
_atom_site_fract_y
_atom_site_fract_z
La1 La 0.000 0.000 0.000
Lu1 Lu 0.000 0.000 0.317
Mg1 Mg 0.000 0.000 0.672
```

=====

Tell me which of them is the least stable. Sure, it is a.

=====

a | Density functional theory data (PBE) for LaNdLu2 after structural relaxation.

```
data_LaNdLu2
_symmetry_space_group_name_H-M 'P 4/m m m'
_symmetry_Int_Tables_number 123
_symmetry_space_group_name_Hall '-P 4 2'
_cell_length_a 3.683
_cell_length_b 3.683
_cell_length_c 9.629
_cell_angle_alpha 90.00
_cell_angle_beta 90.00
_cell_angle_gamma 90.00
loop_
_atom_site_label
_atom_site_type_symbol
_atom_site_fract_x
_atom_site_fract_y
_atom_site_fract_z
La1 La 0.000 0.000 0.000
Nd1 Nd 0.000 0.000 0.500
Lu1 Lu 0.500 0.500 0.253
```

=====

b | Density functional theory data (PBE) for LaNdLu2 after structural relaxation.

```
data_LaNdLu2
_symmetry_space_group_name_H-M 'F m -3 m'
_symmetry_Int_Tables_number 225
_symmetry_space_group_name_Hall '-F 4 2 3'
_cell_length_a 8.087
_cell_length_b 8.087
_cell_length_c 8.087
_cell_angle_alpha 90.00
_cell_angle_beta 90.00
_cell_angle_gamma 90.00
loop_
_atom_site_label
_atom_site_type_symbol
_atom_site_fract_x
_atom_site_fract_y
_atom_site_fract_z
La1 La 0.000 0.000 0.000
Nd1 Nd 0.000 0.000 0.500
Lu1 Lu 0.250 0.250 0.250
```

=====

Tell me which of them is the least stable. Sure, it is b.